1) ## MnSeF3 (PBE with a Hubbard U)

Data for crystalline MnSeF3 at its relaxed geometry.

Cell: 4.4839 4.4839 4.4839 Å, 90.00 90.00 90.00°
Closest atoms and distances in Å follow each position.
Positions (direct):
Mn1 0.0000 0.0000 0.0000  12 F 3.17
Se1 0.5000 0.5000 0.5000  6 F 2.24
F1 0.0000 0.5000 0.5000  2 Se 2.24
F2 0.5000 0.0000 0.5000  2 Se 2.24
F3 0.5000 0.5000 0.0000  2 Se 2.24

***

2) ## MnSeF3 (PBE with a Hubbard U)

Data for crystalline MnSeF3 at its relaxed geometry.

Cell: 4.1840 4.1840 4.1840 Å, 90.00 90.00 90.00°
Closest atoms and distances in Å follow each position.
Positions (direct):
Mn1 0.0000 0.0000 0.0000  6 F 2.09
Se1 0.5000 0.5000 0.5000  12 F 2.96
F1 0.0000 0.0000 0.5000  2 Mn 2.09
F2 0.0000 0.5000 0.0000  2 Mn 2.09
F3 0.5000 0.0000 0.0000  2 Mn 2.09

***

The structure shown above that is least stable: 1).